# 1
First-principles (PBEsol) data for crystalline HgRh2W at its relaxed geometry, as listed in the Alexandria database.

The value obtained for the raw total energy is -7.34 eV per atom. The value obtained for the density is 15.942 g cm⁻³. The formation energy comes out at 7.40 kcal/mol of atoms.

The space group is P2/m (No. 10) and the conventional cell measures 4.796, 2.796 and 5.007 Å, with angles of 90.00, 113.68 and 90.00 degrees. Symmetry generates all atoms from Hg at (0.000, 0.000, 0.000), Rh at (0.500, 0.000, 0.500), Rh at (0.500, 0.500, 0.000) and W at (0.000, 0.500, 0.500).


# 2
First-principles (PBEsol) data for crystalline HgRh2W2 at its relaxed geometry, as listed in the Alexandria database.

The value obtained for the raw total energy is -8.31 eV per atom. The value obtained for the density is 14.931 g cm⁻³. The formation energy comes out at 13.49 kcal/mol of atoms.

The space group is I4/mmm (No. 139) and the conventional cell measures 3.829, 3.829 and 11.746 Å, with angles of 90.00, 90.00 and 90.00 degrees. Symmetry generates all atoms from Hg at (0.000, 0.000, 0.000), Rh at (0.000, 0.500, 0.250) and W at (0.000, 0.000, 0.392).